# Tb3PrIn, optimized geometry, DFT PBE
# - size of the total moment (μB/f.u.) = 0.00
# - E (eV per cell) = -89.174
# - energy above the lowest structure with this stoichiometry (meV/atom) = 0
data_Tb3PrIn
_cell_length_a 4.907
_cell_length_b 25.401
_cell_length_c 4.882
_cell_angle_alpha 90.00
_cell_angle_beta 90.00
_cell_angle_gamma 90.00
_space_group_name_H-M_alt 'C m c m'
_space_group_IT_number 63
_space_group_name_Hall '-C 2c 2'
loop_
_atom_site_label
_atom_site_type_symbol
_atom_site_fract_x
_atom_site_fract_y
_atom_site_fract_z
_atom_site_occupancy
Tb1 Tb 0.000 0.048 0.250 1
Tb2 Tb 0.000 0.250 0.250 1
Tb3 Tb 0.000 0.448 0.250 1
Pr1 Pr 0.000 0.148 0.750 1
In1 In 0.000 0.346 0.750 1

---

# Tb3Pr4In2, optimized geometry, DFT PBE
# - size of the total moment (μB/f.u.) = 0.00
# - E (eV per cell) = -40.123
data_Tb3Pr4In2
_cell_length_a 5.453
_cell_length_b 6.850
_cell_length_c 8.706
_cell_angle_alpha 103.36
_cell_angle_beta 90.05
_cell_angle_gamma 113.45
_space_group_name_H-M_alt 'P -1'
_space_group_IT_number 2
loop_
_space_group_symop_operation_xyz
'x,y,z'
'-x,-y,-z'
loop_
_atom_site_label
_atom_site_type_symbol
_atom_site_fract_x
_atom_site_fract_y
_atom_site_fract_z
_atom_site_occupancy
Tb1 Tb 0.000 0.000 0.000 1
Tb2 Tb 0.418 0.836 0.644 1
Pr1 Pr 0.116 0.232 0.656 1
Pr2 Pr 0.331 0.663 0.036 1
In1 In 0.205 0.412 0.317 1

---

# Tb2PrIn3, optimized geometry, DFT PBE
# - size of the total moment (μB/f.u.) = 0.00
# - E (eV per cell) = -25.160
# - energy above the lowest structure with this stoichiometry (meV/atom) = 0
data_Tb2PrIn3
_cell_length_a 3.796
_cell_length_b 3.796
_cell_length_c 11.575
_cell_angle_alpha 90.00
_cell_angle_beta 90.00
_cell_angle_gamma 90.00
_space_group_name_H-M_alt 'P 4/m m m'
_space_group_IT_number 123
_space_group_name_Hall '-P 4 2'
loop_
_atom_site_label
_atom_site_type_symbol
_atom_site_fract_x
_atom_site_fract_y
_atom_site_fract_z
_atom_site_occupancy
Tb1 Tb 0.000 0.000 0.161 1
Pr1 Pr 0.000 0.000 0.500 1
In1 In 0.500 0.500 0.000 1
In2 In 0.500 0.500 0.322 1

---

# Tb2Pr8In, optimized geometry, DFT PBE
# - size of the total moment (μB/f.u.) = 0.00
# - E (eV per cell) = -101.960
data_Tb2Pr8In
_cell_length_a 18.555
_cell_length_b 5.099
_cell_length_c 8.188
_cell_angle_alpha 90.00
_cell_angle_beta 105.67
_cell_angle_gamma 90.00
_space_group_name_H-M_alt 'C 1 2/m 1'
_space_group_IT_number 12
loop_
_space_group_symop_operation_xyz
'x,y,z'
'-x,-y,-z'
'-x,y,-z'
'x,-y,z'
'x+1/2,y+1/2,z'
'-x+1/2,-y+1/2,-z'
'-x+1/2,y+1/2,-z'
'x+1/2,-y+1/2,z'
loop_
_atom_site_label
_atom_site_type_symbol
_atom_site_fract_x
_atom_site_fract_y
_atom_site_fract_z
_atom_site_occupancy
Tb1 Tb 0.225 0.000 0.133 1
Pr1 Pr 0.044 0.000 0.230 1
Pr2 Pr 0.091 0.500 0.943 1
Pr3 Pr 0.137 0.000 0.679 1
Pr4 Pr 0.178 0.500 0.408 1
In1 In 0.000 0.500 0.500 1

---

# Tb4Pr3In, optimized geometry, DFT PBE
# - size of the total moment (μB/f.u.) = 0.31
# - E (eV per cell) = -70.300
# - energy above the lowest structure with this stoichiometry (meV/atom) = 163
data_Tb4Pr3In
_cell_length_a 26.153
_cell_length_b 3.468
_cell_length_c 5.904
_cell_angle_alpha 90.00
_cell_angle_beta 97.64
_cell_angle_gamma 90.00
_space_group_name_H-M_alt 'C 1 2/m 1'
_space_group_IT_number 12
loop_
_space_group_symop_operation_xyz
'x,y,z'
'-x,-y,-z'
'-x,y,-z'
'x,-y,z'
'x+1/2,y+1/2,z'
'-x+1/2,-y+1/2,-z'
'-x+1/2,y+1/2,-z'
'x+1/2,-y+1/2,z'
loop_
_atom_site_label
_atom_site_type_symbol
_atom_site_fract_x
_atom_site_fract_y
_atom_site_fract_z
_atom_site_occupancy
Tb1 Tb 0.100 0.000 0.173 1
Tb2 Tb 0.218 0.500 0.234 1
Pr1 Pr 0.000 0.000 0.500 1
Pr2 Pr 0.150 0.000 0.705 1
In1 In 0.000 0.500 0.000 1

---

# TbPrIn, optimized geometry, DFT PBE
# - size of the total moment (μB/f.u.) = 0.00
# - E (eV per cell) = -12.873
# - energy above the lowest structure with this stoichiometry (meV/atom) = 100
data_TbPrIn
_cell_length_a 5.3168
_cell_length_b 5.3168
_cell_length_c 3.7454
_cell_angle_alpha 90.00
_cell_angle_beta 90.00
_cell_angle_gamma 120.00
_space_group_name_H-M_alt 'P 3 m 1'
_space_group_IT_number 156
loop_
_space_group_symop_operation_xyz
'x,y,z'
'-y,x-y,z'
'-x+y,-x,z'
'-y,-x,z'
'-x+y,y,z'
'x,x-y,z'
loop_
_atom_site_label
_atom_site_type_symbol
_atom_site_fract_x
_atom_site_fract_y
_atom_site_fract_z
_atom_site_occupancy
Tb1 Tb 0.0000 0.0000 0.0000 1
Pr1 Pr 0.6667 0.3333 0.5567 1
In1 In 0.3333 0.6667 0.1959 1

---

# TbPrIn, optimized geometry, DFT PBE
# - size of the total moment (μB/f.u.) = 0.00
# - E (eV per cell) = -26.344
# - energy above the lowest structure with this stoichiometry (meV/atom) = 0
data_TbPrIn
_cell_length_a 5.5265
_cell_length_b 5.5265
_cell_length_c 6.8251
_cell_angle_alpha 90.00
_cell_angle_beta 90.00
_cell_angle_gamma 120.00
_space_group_name_H-M_alt 'P 63/m m c'
_space_group_IT_number 194
_space_group_name_Hall '-P 6c 2c'
loop_
_atom_site_label
_atom_site_type_symbol
_atom_site_fract_x
_atom_site_fract_y
_atom_site_fract_z
_atom_site_occupancy
Tb1 Tb 0.3333 0.6667 0.2500 1
Pr1 Pr 0.0000 0.0000 0.0000 1
In1 In 0.3333 0.6667 0.7500 1

---

# TbPr3In2, optimized geometry, DFT PBE
# - size of the total moment (μB/f.u.) = 0.00
# - E (eV per cell) = -48.398
# - energy above the lowest structure with this stoichiometry (meV/atom) = 388
data_TbPr3In2
_cell_length_a 3.449
_cell_length_b 5.866
_cell_length_c 19.279
_cell_angle_alpha 90.00
_cell_angle_beta 90.00
_cell_angle_gamma 90.00
_space_group_name_H-M_alt 'I m m m'
_space_group_IT_number 71
_space_group_name_Hall '-I 2 2'
loop_
_atom_site_label
_atom_site_type_symbol
_atom_site_fract_x
_atom_site_fract_y
_atom_site_fract_z
_atom_site_occupancy
Tb1 Tb 0.000 0.000 0.000 1
Pr1 Pr 0.000 0.000 0.181 1
Pr2 Pr 0.000 0.500 0.000 1
In1 In 0.000 0.000 0.352 1

---

# Tb2Pr6In3, optimized geometry, DFT PBE
# - size of the total moment (μB/f.u.) = 0.00
# - E (eV per cell) = -88.501
data_Tb2Pr6In3
_cell_length_a 5.522
_cell_length_b 5.522
_cell_length_c 24.810
_cell_angle_alpha 90.00
_cell_angle_beta 90.00
_cell_angle_gamma 90.00
_space_group_name_H-M_alt 'I 4/m m m'
_space_group_IT_number 139
_space_group_name_Hall '-I 4 2'
loop_
_atom_site_label
_atom_site_type_symbol
_atom_site_fract_x
_atom_site_fract_y
_atom_site_fract_z
_atom_site_occupancy
Tb1 Tb 0.000 0.000 0.058 1
Pr1 Pr 0.000 0.000 0.199 1
Pr2 Pr 0.000 0.500 0.098 1
In1 In 0.000 0.000 0.327 1
In2 In 0.000 0.000 0.500 1

---

# Tb5Pr3In, optimized geometry, DFT PBE
# - size of the total moment (μB/f.u.) = 0.00
# - E (eV per cell) = -147.454
data_Tb5Pr3In
_cell_length_a 13.482
_cell_length_b 7.981
_cell_length_c 11.766
_cell_angle_alpha 90.00
_cell_angle_beta 95.27
_cell_angle_gamma 90.00
_space_group_name_H-M_alt 'C 1 2/m 1'
_space_group_IT_number 12
loop_
_space_group_symop_operation_xyz
'x,y,z'
'-x,-y,-z'
'-x,y,-z'
'x,-y,z'
'x+1/2,y+1/2,z'
'-x+1/2,-y+1/2,-z'
'-x+1/2,y+1/2,-z'
'x+1/2,-y+1/2,z'
loop_
_atom_site_label
_atom_site_type_symbol
_atom_site_fract_x
_atom_site_fract_y
_atom_site_fract_z
_atom_site_occupancy
Tb1 Tb 0.000 0.168 0.000 1
Tb2 Tb 0.001 0.000 0.630 1
Tb3 Tb 0.125 0.290 0.763 1
Tb4 Tb 0.242 0.500 0.034 1
Pr1 Pr 0.000 0.500 0.000 1
Pr2 Pr 0.000 0.500 0.500 1
Pr3 Pr 0.159 0.000 0.217 1
Pr4 Pr 0.236 0.000 0.528 1
In1 In 0.099 0.500 0.254 1

---

# Tb7PrIn2, optimized geometry, DFT PBE
# - size of the total moment (μB/f.u.) = 2.22
# - E (eV per cell) = -78.589
data_Tb7PrIn2
_cell_length_a 9.168
_cell_length_b 15.297
_cell_length_c 5.570
_cell_angle_alpha 90.00
_cell_angle_beta 90.00
_cell_angle_gamma 90.00
_space_group_name_H-M_alt 'C m m m'
_space_group_IT_number 65
_space_group_name_Hall '-C 2 2'
loop_
_atom_site_label
_atom_site_type_symbol
_atom_site_fract_x
_atom_site_fract_y
_atom_site_fract_z
_atom_site_occupancy
Tb1 Tb 0.000 0.000 0.000 1
Tb2 Tb 0.000 0.266 0.500 1
Tb3 Tb 0.181 0.377 0.000 1
Pr1 Pr 0.000 0.500 0.500 1
In1 In 0.000 0.197 0.000 1

---

# TbPrIn6, optimized geometry, DFT PBE
# - size of the total moment (μB/f.u.) = 0.00
# - E (eV per cell) = -29.450
# - energy above the lowest structure with this stoichiometry (meV/atom) = 0
data_TbPrIn6
_cell_length_a 4.692
_cell_length_b 4.692
_cell_length_c 9.381
_cell_angle_alpha 90.00
_cell_angle_beta 90.00
_cell_angle_gamma 90.00
_space_group_name_H-M_alt 'P 4/m m m'
_space_group_IT_number 123
_space_group_name_Hall '-P 4 2'
loop_
_atom_site_label
_atom_site_type_symbol
_atom_site_fract_x
_atom_site_fract_y
_atom_site_fract_z
_atom_site_occupancy
Tb1 Tb 0.000 0.000 0.000 1
Pr1 Pr 0.000 0.000 0.500 1
In1 In 0.000 0.500 0.245 1
In2 In 0.500 0.500 0.000 1
In3 In 0.500 0.500 0.500 1

---

# Tb6Pr12In, optimized geometry, DFT PBE
# - size of the total moment (μB/f.u.) = 0.00
# - E (eV per cell) = -260.330
data_Tb6Pr12In
_cell_length_a 12.1569
_cell_length_b 12.1569
_cell_length_c 15.4751
_cell_angle_alpha 90.00
_cell_angle_beta 90.00
_cell_angle_gamma 120.00
_space_group_name_H-M_alt 'R -3'
_space_group_IT_number 148
_space_group_name_Hall '-R 3'
loop_
_atom_site_label
_atom_site_type_symbol
_atom_site_fract_x
_atom_site_fract_y
_atom_site_fract_z
_atom_site_occupancy
Tb1 Tb 0.0250 0.4349 0.1902 1
Pr1 Pr 0.0072 0.1768 0.3133 1
Pr2 Pr 0.0478 0.8467 0.9153 1
In1 In 0.0000 0.0000 0.5000 1

---

# Tb2Pr5In5, optimized geometry, DFT PBE
# - size of the total moment (μB/f.u.) = 0.00
# - E (eV per cell) = -101.289
data_Tb2Pr5In5
_cell_length_a 11.766
_cell_length_b 5.324
_cell_length_c 12.315
_cell_angle_alpha 90.00
_cell_angle_beta 109.47
_cell_angle_gamma 90.00
_space_group_name_H-M_alt 'C 1 2/m 1'
_space_group_IT_number 12
loop_
_space_group_symop_operation_xyz
'x,y,z'
'-x,-y,-z'
'-x,y,-z'
'x,-y,z'
'x+1/2,y+1/2,z'
'-x+1/2,-y+1/2,-z'
'-x+1/2,y+1/2,-z'
'x+1/2,-y+1/2,z'
loop_
_atom_site_label
_atom_site_type_symbol
_atom_site_fract_x
_atom_site_fract_y
_atom_site_fract_z
_atom_site_occupancy
Tb1 Tb 0.069 0.000 0.258 1
Pr1 Pr 0.000 0.500 0.000 1
Pr2 Pr 0.137 0.500 0.774 1
Pr3 Pr 0.156 0.500 0.500 1
In1 In 0.000 0.000 0.500 1
In2 In 0.173 0.000 0.960 1
In3 In 0.225 0.500 0.267 1

---

# TbPr4In, optimized geometry, DFT PBE
# - size of the total moment (μB/f.u.) = 0.00
# - E (eV per cell) = -97.189
# - energy above the lowest structure with this stoichiometry (meV/atom) = 503
data_TbPr4In
_cell_length_a 11.794
_cell_length_b 11.794
_cell_length_c 6.862
_cell_angle_alpha 90.00
_cell_angle_beta 90.00
_cell_angle_gamma 90.00
_space_group_name_H-M_alt 'I 41 m d'
_space_group_IT_number 109
_space_group_name_Hall 'I 4bw -2'
loop_
_atom_site_label
_atom_site_type_symbol
_atom_site_fract_x
_atom_site_fract_y
_atom_site_fract_z
_atom_site_occupancy
Tb1 Tb 0.000 0.000 0.000 1
Pr1 Pr 0.000 0.261 0.536 1
Pr2 Pr 0.000 0.270 0.032 1
In1 In 0.000 0.000 0.504 1

---

# TbPrIn, optimized geometry, DFT PBE
# - size of the total moment (μB/f.u.) = 0.00
# - E (eV per cell) = -24.611
# - energy above the lowest structure with this stoichiometry (meV/atom) = 289
data_TbPrIn
_cell_length_a 3.443
_cell_length_b 5.620
_cell_length_c 9.421
_cell_angle_alpha 90.00
_cell_angle_beta 90.00
_cell_angle_gamma 90.00
_space_group_name_H-M_alt 'I m m 2'
_space_group_IT_number 44
loop_
_space_group_symop_operation_xyz
'x,y,z'
'-x,-y,z'
'-x,y,z'
'x,-y,z'
'x+1/2,y+1/2,z+1/2'
'-x+1/2,-y+1/2,z+1/2'
'-x+1/2,y+1/2,z+1/2'
'x+1/2,-y+1/2,z+1/2'
loop_
_atom_site_label
_atom_site_type_symbol
_atom_site_fract_x
_atom_site_fract_y
_atom_site_fract_z
_atom_site_occupancy
Tb1 Tb 0.000 0.000 0.000 1
Pr1 Pr 0.000 0.500 0.179 1
In1 In 0.000 0.500 0.812 1

---

# Tb2PrIn, optimized geometry, DFT PBE
# - size of the total moment (μB/f.u.) = 0.00
# - E (eV per cell) = -17.732
# - energy above the lowest structure with this stoichiometry (meV/atom) = 27
data_Tb2PrIn
_cell_length_a 3.634
_cell_length_b 3.634
_cell_length_c 9.293
_cell_angle_alpha 90.00
_cell_angle_beta 90.00
_cell_angle_gamma 90.00
_space_group_name_H-M_alt 'P 4/m m m'
_space_group_IT_number 123
_space_group_name_Hall '-P 4 2'
loop_
_atom_site_label
_atom_site_type_symbol
_atom_site_fract_x
_atom_site_fract_y
_atom_site_fract_z
_atom_site_occupancy
Tb1 Tb 0.000 0.000 0.221 1
Pr1 Pr 0.500 0.500 0.500 1
In1 In 0.500 0.500 0.000 1

---

# TbPr3In3, optimized geometry, DFT PBE
# - size of the total moment (μB/f.u.) = 0.00
# - E (eV per cell) = -118.106
# - energy above the lowest structure with this stoichiometry (meV/atom) = 0
data_TbPr3In3
_cell_length_a 9.592
_cell_length_b 9.592
_cell_length_c 9.592
_cell_angle_alpha 90.00
_cell_angle_beta 90.00
_cell_angle_gamma 90.00
_space_group_name_H-M_alt 'P 21 3'
_space_group_IT_number 198
_space_group_name_Hall 'P 2ac 2ab 3'
loop_
_atom_site_label
_atom_site_type_symbol
_atom_site_fract_x
_atom_site_fract_y
_atom_site_fract_z
_atom_site_occupancy
Tb1 Tb 0.077 0.423 0.577 1
Pr1 Pr 0.069 0.569 0.931 1
Pr2 Pr 0.171 0.171 0.171 1
Pr3 Pr 0.176 0.824 0.324 1
In1 In 0.004 0.744 0.632 1

---

# TbPr2In2, optimized geometry, DFT PBE
# - size of the total moment (μB/f.u.) = 0.00
# - E (eV per cell) = -43.175
# - energy above the lowest structure with this stoichiometry (meV/atom) = 0
data_TbPr2In2
_cell_length_a 5.057
_cell_length_b 7.128
_cell_length_c 8.551
_cell_angle_alpha 90.00
_cell_angle_beta 90.00
_cell_angle_gamma 90.00
_space_group_name_H-M_alt 'I m m m'
_space_group_IT_number 71
_space_group_name_Hall '-I 2 2'
loop_
_atom_site_label
_atom_site_type_symbol
_atom_site_fract_x
_atom_site_fract_y
_atom_site_fract_z
_atom_site_occupancy
Tb1 Tb 0.000 0.000 0.000 1
Pr1 Pr 0.000 0.500 0.194 1
In1 In 0.000 0.211 0.500 1

---

# Tb8Pr6In, optimized geometry, DFT PBE
# - size of the total moment (μB/f.u.) = 0.00
# - E (eV per cell) = -67.534
data_Tb8Pr6In
_cell_length_a 9.4996
_cell_length_b 9.4996
_cell_length_c 6.4940
_cell_angle_alpha 90.00
_cell_angle_beta 90.00
_cell_angle_gamma 120.00
_space_group_name_H-M_alt 'P 3'
_space_group_IT_number 143
loop_
_space_group_symop_operation_xyz
'x,y,z'
'-y,x-y,z'
'-x+y,-x,z'
loop_
_atom_site_label
_atom_site_type_symbol
_atom_site_fract_x
_atom_site_fract_y
_atom_site_fract_z
_atom_site_occupancy
Tb1 Tb 0.0000 0.0000 0.0000 1
Tb2 Tb 0.0710 0.4437 0.3453 1
Tb3 Tb 0.1096 0.7061 0.9733 1
Tb4 Tb 0.6667 0.3333 0.3182 1
Pr1 Pr 0.2436 0.2185 0.4784 1
Pr2 Pr 0.4231 0.1145 0.8399 1
In1 In 0.3333 0.6667 0.6603 1

---

Computed values of formation energy (unit: eV per atom) for the preceding records, in sequence: -0.177 -0.182 -0.484 -0.068 0.056 -0.242 -0.341 0.041 0.173 0.374 0.337 -0.451 0.058 -0.316 0.365 -0.052 -0.238 -0.335 -0.384 0.062.